# 1
# Hf6BiPb2

Hf6BiPb2 after structural relaxation (PBE, Alexandria).

Calculated values
Energy relative to the elements   -22 meV per atom
SG   Pnnm (58)
Theoretical density   13.66 g/cm3

Lattice parameters (Å, degrees): 8.7793 9.2043 5.0995 90.00 90.00 90.00
Atoms (fractional coordinates):
Hf1 0.0041 0.1605 0.0000
Hf2 0.1617 0.5881 0.5000
Hf3 0.1640 0.9245 0.5000
Hf4 0.3360 0.4245 0.0000
Hf5 0.3383 0.0882 0.0000
Hf6 0.4959 0.6605 0.5000
Hf7 0.5041 0.3395 0.5000
Hf8 0.6617 0.9118 0.0000
Hf9 0.6640 0.5755 0.0000
Hf10 0.8360 0.0755 0.5000
Hf11 0.8383 0.4118 0.5000
Hf12 0.9959 0.8395 0.0000
Bi1 0.0000 0.5000 0.0000
Bi2 0.5000 0.0000 0.5000
Pb1 0.1701 0.2548 0.5000
Pb2 0.3299 0.7548 0.0000
Pb3 0.6701 0.2452 0.0000
Pb4 0.8299 0.7452 0.5000

# 2
# Ce2Co2Si3

Ce2Co2Si3 after structural relaxation (PBE, Alexandria).

Calculated values
SG   C2/m (12)
Energy above the most stable polymorph in this dataset   42 meV/atom
Raw formation energy   -59.7 kJ per mole of atoms
Theoretical density   6.89 g/cm3

Lattice parameters (Å, degrees): 5.5508 5.5508 6.7091 118.84 118.84 41.04
Atoms (fractional coordinates):
Ce1 0.1362 0.1362 0.2686
Ce2 0.8638 0.8638 0.7314
Co1 0.1273 0.1273 0.7152
Co2 0.8727 0.8727 0.2848
Si1 0.3520 0.3520 0.0657
Si2 0.5000 0.5000 0.5000
Si3 0.6480 0.6480 0.9343

# 3
# AlP2Se

AlP2Se after structural relaxation (PBE, Alexandria).

Calculated values
SG   P4/mmm (123)
Energy above the most stable polymorph in this dataset   101 meV/atom
Raw formation energy   -5.9 kJ per mole of atoms
Theoretical density   4.01 g/cm3

Lattice parameters (Å, degrees): 3.6911 3.6911 5.1071 90.00 90.00 90.00
Atoms (fractional coordinates):
Al1 0.0000 0.0000 0.0000
P1 0.0000 0.0000 0.5000
P2 0.5000 0.5000 0.5000
Se1 0.5000 0.5000 0.0000

# 4
# HoTmGaHg

HoTmGaHg after structural relaxation (PBE, Alexandria).

Calculated values
Energy relative to the elements   -503 meV per atom
SG   F-43m (216)
Energy above the most stable polymorph in this dataset   22 meV/atom
Theoretical density   10.48 g/cm3

Lattice parameters (Å, degrees): 5.1340 5.1340 5.1340 60.00 60.00 60.00
Atoms (fractional coordinates):
Ho1 0.0000 0.0000 0.0000
Tm1 0.5000 0.5000 0.5000
Ga1 0.2500 0.2500 0.2500
Hg1 0.7500 0.7500 0.7500

# 5
# La6ZnGe2

La6ZnGe2 after structural relaxation (PBE, Alexandria).

Calculated values
Energy relative to the elements   -460 meV per atom
SG   Immm (71)
Theoretical density   6.23 g/cm3

Lattice parameters (Å, degrees): 8.9778 8.9778 8.9778 111.43 109.31 107.70
Atoms (fractional coordinates):
La1 0.0469 0.2421 0.8048
La2 0.1673 0.4622 0.2949
La3 0.1673 0.8724 0.7051
La4 0.3291 0.2340 0.5631
La5 0.3291 0.7660 0.0950
La6 0.4373 0.2421 0.1952
La7 0.5627 0.7579 0.8048
La8 0.6709 0.2340 0.9050
La9 0.6709 0.7660 0.4369
La10 0.8327 0.1276 0.2949
La11 0.8327 0.5378 0.7051
La12 0.9531 0.7579 0.1952
Zn1 0.0000 0.0000 0.0000
Zn2 0.5000 0.5000 0.0000
Ge1 0.1576 0.5000 0.6576
Ge2 0.3799 0.8799 0.5000
Ge3 0.6201 0.1201 0.5000
Ge4 0.8424 0.5000 0.3424

# 6
# Co2PbW

Co2PbW after structural relaxation (PBE, Alexandria).

Calculated values
Energy relative to the elements   555 meV per atom
SG   C2/m (12)
Theoretical density   12.98 g/cm3

Lattice parameters (Å, degrees): 4.3026 4.3026 5.2118 101.29 101.29 43.67
Atoms (fractional coordinates):
Co1 0.2274 0.2274 0.1755
Co2 0.7726 0.7726 0.8245
Pb1 0.0000 0.0000 0.5000
W1 0.5000 0.5000 0.0000

Number 1: E -7.91 eV/atom. Number 2: E -6.67 eV/atom. Number 3: E -4.57 eV/atom. Number 4: E -3.60 eV/atom. Number 5: E -4.91 eV/atom. Number 6: E -7.16 eV/atom.